(1)
This record from the Alexandria database describes a geometry-optimized NdTlAg2I6 structure. The functional is PBE.

- Raw formation energy: -7.41 eV/f.u.
- Density of states at the Fermi level: 0.000 states/eV/f.u.
- Final energy: -2.96 eV/atom
- Spin magnetization: 0.0 μB/f.u.

a b c (Å): 7.9652 7.9652 21.7708
angles (deg): 90.00 90.00 120.00
With the nearest neighbours (Å) after each atom.
Space group R3 (No. 146, hexagonal axes)
Unique sites:
Nd (0.0000, 0.0000, 0.0000) (multiplicity 3)  6 I 3.14-3.16
Tl (0.0000, 0.0000, 0.5146) (multiplicity 3)  6 I 3.44-3.57
Ag (0.0000, 0.0000, 0.3294) (multiplicity 3)  6 I 3.10-3.11
Ag (0.0000, 0.0000, 0.8177) (multiplicity 3)  6 I 3.11-3.13
I (0.0024, 0.6028, 0.5751) (multiplicity 9)  2 Ag 3.11-3.13, 1 Nd 3.14, 1 Tl 3.44
I (0.0152, 0.3381, 0.4042) (multiplicity 9)  2 Ag 3.10-3.11, 1 Nd 3.16

***

(2)
This record from the Alexandria database describes a geometry-optimized ZrTaTc structure. The functional is PBE.

- Density of states at the Fermi level: 2.641 states/eV/f.u.
- Final energy: -10.40 eV/atom
- DFT formation energy: -146.1 meV per atom
- Spin magnetization: 0.0 μB/f.u.
- E above lowest polymorph: 3.72 kcal/mol of atoms

a b c (Å): 4.5363 4.5363 3.0505
angles (deg): 90.00 90.00 120.00
With the nearest neighbours (Å) after each atom.
Space group P3m1 (No. 156)
Unique sites:
Zr (0.0000, 0.0000, 0.0000) (multiplicity 1)  3 Tc 2.79, 3 Ta 2.89, 2 Zr 3.05
Ta (0.3333, 0.6667, 0.3988) (multiplicity 1)  3 Tc 2.76, 3 Zr 2.89, 2 Ta 3.05
Tc (0.6667, 0.3333, 0.6808) (multiplicity 1)  3 Ta 2.76, 3 Zr 2.79, 2 Tc 3.05

***

(3)
This record from the Alexandria database describes a geometry-optimized YThZnSn structure. The functional is PBE.

- Density of states at the Fermi level: 3.758 states/eV/f.u.
- Final energy: -5.17 eV/atom
- DFT formation energy: -377.6 meV per atom
- Spin magnetization: 0.0 μB/f.u.

a b c (Å): 7.4864 7.4864 7.4864
angles (deg): 90.00 90.00 90.00
With the nearest neighbours (Å) after each atom.
Space group F-43m (No. 216)
Unique sites:
Y (0.0000, 0.0000, 0.0000) (multiplicity 4)  4 Sn 3.24, 4 Zn 3.24
Th (0.0000, 0.0000, 0.5000) (multiplicity 4)  4 Zn 3.24, 4 Sn 3.24
Zn (0.2500, 0.2500, 0.7500) (multiplicity 4)  4 Th 3.24, 4 Y 3.24
Sn (0.2500, 0.2500, 0.2500) (multiplicity 4)  4 Th 3.24, 4 Y 3.24

***

(4)
This record from the Alexandria database describes a geometry-optimized Li2MgPb4 structure. The functional is PBE.

- Density of states at the Fermi level: 3.239 states/eV/f.u.
- Final energy: -2.93 eV/atom
- DFT formation energy: -37.9 meV per atom
- Spin magnetization: 0.0 μB/f.u.
- E above lowest polymorph: 2.01 kcal/mol of atoms

a b c (Å): 4.6802 4.6802 29.0428
angles (deg): 90.00 90.00 120.00
With the nearest neighbours (Å) after each atom.
Space group R-3m (No. 166, hexagonal axes)
Unique sites:
Li (0.0000, 0.0000, 0.0993) (multiplicity 6)  7 Pb 2.85-3.01, 1 Mg 2.88
Mg (0.0000, 0.0000, 0.0000) (multiplicity 3)  2 Li 2.88, 6 Pb 3.14
Pb (0.0000, 0.0000, 0.2029) (multiplicity 6)  4 Li 2.85-3.01
Pb (0.0000, 0.0000, 0.3883) (multiplicity 6)  3 Li 2.99, 3 Mg 3.14